BaRe2Au | PBE-GGA | relaxed

The structure in POSCAR format:
```
BaRe2Au
1.0
0.000 3.436 3.436
3.436 0.000 3.436
3.436 3.436 0.000
Ba Re Au
1 2 1
Cartesian
3.436 3.436 3.436 Ba
0.000 0.000 0.000 Re
5.154 5.154 5.154 Re
1.718 1.718 1.718 Au
```

Properties
- energy (eV per atom) = -6.2029